[1]
CaCd5Hg11, optimized geometry, DFT PBE; calculated formation energy = -0.05 eV/atom; E_tot = -0.63 eV/atom
1.0
5.377 -6.262 0.000
5.377 6.262 0.000
-1.040 0.000 6.577
Ca Cd Hg
1 5 11
direct
0.000 0.000 0.000
0.030 0.349 0.666
0.349 0.030 0.666
0.500 0.500 0.000
0.651 0.970 0.334
0.970 0.651 0.334
0.000 0.000 0.500
0.144 0.388 0.135
0.226 0.692 0.756
0.308 0.774 0.244
0.372 0.372 0.552
0.388 0.144 0.135
0.612 0.856 0.865
0.628 0.628 0.448
0.692 0.226 0.756
0.774 0.308 0.244
0.856 0.612 0.865

***

[2]
SbAu2, optimized geometry, DFT PBE; E_tot = -3.49 eV/atom; formation energy (no corrections) = 0.065 eV per atom
1.0
-1.890 1.890 4.379
1.890 -1.890 4.379
1.890 1.890 -4.379
Sb Au
1 2
direct
0.000 0.000 0.000
0.333 0.333 0.000
0.667 0.667 0.000

***

[3]
Sr3MgO, optimized geometry, DFT PBE; E_tot = -3.38 eV/atom; formation energy (no corrections) = -1.061 eV per atom
1.0
5.324 0.000 0.000
0.000 5.324 0.000
0.000 0.000 5.324
Sr Mg O
3 1 1
direct
0.000 0.000 0.500
0.000 0.500 0.000
0.500 0.000 0.000
0.500 0.500 0.500
0.000 0.000 0.000

***

[4]
Na2Ho2NpSe6, optimized geometry, DFT PBE; E_tot = -5.66 eV/atom; formation energy (no corrections) = -1.512 eV per atom
1.0
3.575 -6.182 0.000
3.575 6.182 0.000
-2.393 0.000 7.056
Na Ho Np Se
2 2 1 6
direct
0.168 0.832 0.000
0.832 0.168 0.000
0.334 0.666 0.500
0.666 0.334 0.500
0.000 0.000 0.500
0.073 0.405 0.725
0.254 0.254 0.276
0.405 0.073 0.725
0.595 0.927 0.275
0.746 0.746 0.724
0.927 0.595 0.275

***

[5]
La3BiN, optimized geometry, DFT PBE; E_tot = -6.13 eV/atom; formation energy (no corrections) = -0.736 eV per atom
1.0
3.681 0.000 0.000
0.000 3.212 6.300
0.000 -3.212 6.300
La Bi N
3 1 1
direct
0.000 0.000 0.000
0.500 0.480 0.986
0.500 0.986 0.480
0.500 0.489 0.489
0.000 0.188 0.188

***

[6]
AlBi2Pb2, optimized geometry, DFT PBE; calculated formation energy = 0.30 eV/atom; E_tot = -3.48 eV/atom
1.0
8.791 0.000 0.000
0.000 8.791 0.000
0.000 0.000 4.155
Al Bi Pb
2 4 4
direct
0.000 0.000 0.000
0.500 0.500 0.000
0.142 0.358 0.500
0.358 0.858 0.500
0.642 0.142 0.500
0.858 0.642 0.500
0.152 0.652 0.000
0.348 0.152 0.000
0.652 0.848 0.000
0.848 0.348 0.000